# 1
Here is an optimized crystal structure of K3Cd4Pt from Alexandria via LeMat-Bulk. Energies are from PBE-GGA.

Unit cell a=6.2850 b=7.3666 c=11.1869 alpha=90.00 beta=90.00 gamma=90.00
Closest atoms and distances in Å follow each position.
Space group Imm2 (No. 44)
Symmetry-distinct sites (fractional):
1 K 0.0000 0.0000 0.0000 [2 per cell]  2 Pt 3.86, 4 K 4.04, 10 Cd 4.08-4.14
2 K 0.0000 0.2333 0.3559 [4 per cell]  1 K 3.44, 2 Pt 3.61, 7 Cd 3.64-3.82
3 Cd 0.0000 0.3006 0.6941 [4 per cell]  1 Pt 2.72, 3 Cd 2.94
4 Cd 0.2378 0.5000 0.1034 [4 per cell]  1 Pt 2.74, 3 Cd 2.94-2.99
5 Pt 0.0000 0.5000 0.8982 [2 per cell]  4 Cd 2.72-2.74

## Properties
Formation enthalpy at 0 K in kcal/mol of atoms: -3.2
Total moment in μB/f.u.: 0.00


# 2
Here is an optimized crystal structure of Mn2RhAuC from Alexandria via LeMat-Bulk. Energies are from PBE-GGA.

Unit cell a=4.0389 b=4.0389 c=4.0465 alpha=90.00 beta=90.00 gamma=90.00
Closest atoms and distances in Å follow each position.
Space group P4/mmm (No. 123)
Symmetry-distinct sites (fractional):
1 Mn 0.0000 0.5000 0.0000 [2 per cell]  2 C 2.02
2 Rh 0.0000 0.0000 0.5000 [1 per cell]  2 C 2.02
3 Au 0.5000 0.5000 0.5000 [1 per cell]  4 Rh 2.86, 8 Mn 2.86
4 C 0.0000 0.0000 0.0000 [1 per cell]  4 Mn 2.02, 2 Rh 2.02

## Properties
Formation enthalpy at 0 K in kcal/mol of atoms: 0.4
Total moment in μB/f.u.: 6.57


# 3
Here is an optimized crystal structure of BaCd2InGe from Alexandria via LeMat-Bulk. Energies are from PBE-GGA.

Unit cell a=4.6652 b=4.8508 c=12.2429 alpha=90.00 beta=90.00 gamma=90.00
Closest atoms and distances in Å follow each position.
Space group Imm2 (No. 44)
Symmetry-distinct sites (fractional):
1 Ba 0.0000 0.0000 0.0000 [2 per cell]  4 Ge 3.60, 8 Cd 3.66-4.01, 4 In 3.87-3.89
2 Cd 0.0000 0.0000 0.6170 [2 per cell]  1 Ge 2.72, 2 Cd 2.92, 2 In 2.95
3 Cd 0.0000 0.5000 0.2609 [2 per cell]  2 Cd 2.92, 2 Ge 2.93
4 In 0.0000 0.5000 0.7540 [2 per cell]  2 Ge 2.90, 2 Cd 2.95
5 Ge 0.0000 0.0000 0.3946 [2 per cell]  3 Cd 2.72-2.93, 2 In 2.90

## Properties
Formation enthalpy at 0 K in kcal/mol of atoms: -8.0
Total moment in μB/f.u.: 0.00


# 4
Here is an optimized crystal structure of SmZn3GaPd from Alexandria via LeMat-Bulk. Energies are from PBE-GGA.

Unit cell a=6.3372 b=13.0118 c=5.5396 alpha=90.00 beta=90.00 gamma=90.00
Closest atoms and distances in Å follow each position.
Space group Cmcm (No. 63)
Symmetry-distinct sites (fractional):
1 Sm 0.0000 0.2075 0.2500 [4 per cell]  2 Pd 2.84, 1 Ga 2.86
2 Zn 0.0000 0.3612 0.7500 [4 per cell]  1 Pd 2.64, 3 Ga 2.75-2.90
3 Zn 0.1946 0.0000 0.0000 [8 per cell]  1 Zn 2.47, 2 Ga 2.56
4 Ga 0.0000 0.4272 0.2500 [4 per cell]  5 Zn 2.56-2.75, 1 Sm 2.86
5 Pd 0.0000 0.1585 0.7500 [4 per cell]  5 Zn 2.64-2.77, 2 Sm 2.84

## Properties
Formation enthalpy at 0 K in kcal/mol of atoms: -6.3
Total moment in μB/f.u.: 0.00


# 5
Here is an optimized crystal structure of AcLa4Pr3Se8 from Alexandria via LeMat-Bulk. Energies are from PBE-GGA.

Unit cell a=8.6410 b=8.6410 c=21.1110 alpha=90.00 beta=90.00 gamma=120.00
Closest atoms and distances in Å follow each position.
Space group R-3m (No. 166, hexagonal axes)
Symmetry-distinct sites (fractional):
1 Ac 0.0000 0.0000 0.0000 [3 per cell]  6 Se 3.09
2 La 0.0000 0.0000 0.5000 [3 per cell]  6 Se 3.01
3 La 0.0000 0.5000 0.5000 [9 per cell]  6 Se 3.06
4 Pr 0.0000 0.5000 0.0000 [9 per cell]  6 Se 3.05
5 Se 0.0000 0.0000 0.2504 [6 per cell]  3 Pr 3.05, 3 La 3.06
6 Se 0.0052 0.5026 0.2493 [18 per cell]  3 La 3.01-3.06, 2 Pr 3.05, 1 Ac 3.09

## Properties
Total moment in μB/f.u.: 0.00
Final energy in eV/atom: -6.0504


# 6
Here is an optimized crystal structure of Ti2NbSe4 from Alexandria via LeMat-Bulk. Energies are from PBE-GGA.

Unit cell a=13.8784 b=3.4705 c=6.5358 alpha=90.00 beta=117.15 gamma=90.00
Closest atoms and distances in Å follow each position.
Space group C2/m (No. 12)
Symmetry-distinct sites (fractional):
1 Ti 0.2483 0.0000 0.2020 [4 per cell]  6 Se 2.54-2.77
2 Nb 0.0000 0.5000 0.5000 [2 per cell]  6 Se 2.61-2.67
3 Se 0.1117 0.5000 0.9480 [4 per cell]  3 Ti 2.54-2.55, 1 Nb 2.61
4 Se 0.1379 0.0000 0.4640 [4 per cell]  3 Ti 2.67-2.77, 2 Nb 2.67

## Properties
Total moment in μB/f.u.: 0.81
Final energy in eV/atom: -6.6932